P:
# In5Hg

A geometry-optimized In5Hg structure (GGA-PBE, the Alexandria database).

abc: 5.994 5.994 5.807
angles: 90.00 90.00 120.00
Atoms (fractional coordinates):
1 In 0.000 0.500 0.000
2 In 0.333 0.667 0.500
3 In 0.500 0.000 0.000
4 In 0.500 0.500 0.000
5 In 0.667 0.333 0.500
6 Hg 0.000 0.000 0.500

Results
Fermi-level density of states	2.0	states/eV/f.u.

***

Q:
# In5Hg

A geometry-optimized In5Hg structure (GGA-PBE, the Alexandria database).

abc: 3.213 3.213 15.584
angles: 90.00 90.00 90.00
Atoms (fractional coordinates):
1 In 0.000 0.000 0.000
2 In 0.000 0.000 0.335
3 In 0.000 0.000 0.665
4 In 0.500 0.500 0.168
5 In 0.500 0.500 0.832
6 Hg 0.500 0.500 0.500

Results
Fermi-level density of states	1.7	states/eV/f.u.

***

Stability ranking, top and bottom: Q is the most stable and P is the least stable.

***

P:
# In5Hg

A geometry-optimized In5Hg structure (GGA-PBE, the Alexandria database).

abc: 6.246 6.246 6.246
angles: 60.00 60.00 60.00
Atoms (fractional coordinates):
1 In 0.000 0.000 0.000
2 In 0.126 0.625 0.625
3 In 0.625 0.126 0.625
4 In 0.625 0.625 0.126
5 In 0.625 0.625 0.625
6 Hg 0.250 0.250 0.250

Results
Fermi-level density of states	3.0	states/eV/f.u.

***

Q:
# In5Hg

A geometry-optimized In5Hg structure (GGA-PBE, the Alexandria database).

abc: 5.497 9.800 6.168
angles: 90.00 99.64 90.00
Atoms (fractional coordinates):
1 In 0.231 0.250 0.485
2 In 0.244 0.581 0.881
3 In 0.244 0.919 0.881
4 In 0.251 0.583 0.381
5 In 0.251 0.917 0.381
6 In 0.749 0.083 0.619
7 In 0.749 0.417 0.619
8 In 0.756 0.081 0.119
9 In 0.756 0.419 0.119
10 In 0.769 0.750 0.515
11 Hg 0.246 0.250 0.988
12 Hg 0.754 0.750 0.012

Results
Fermi-level density of states	2.6	states/eV/f.u.

***

Stability ranking, top and bottom: Q is the most stable and P is the least stable.

***

P:
# In5Hg

A geometry-optimized In5Hg structure (GGA-PBE, the Alexandria database).

abc: 7.947 7.947 4.687
angles: 90.00 90.00 146.99
Atoms (fractional coordinates):
1 In 0.000 0.000 0.000
2 In 0.167 0.833 0.500
3 In 0.334 0.666 0.000
4 In 0.666 0.334 0.000
5 In 0.833 0.167 0.500
6 Hg 0.500 0.500 0.500

Results
Fermi-level density of states	2.4	states/eV/f.u.

***

Q:
# In5Hg

A geometry-optimized In5Hg structure (GGA-PBE, the Alexandria database).

abc: 6.354 6.354 7.877
angles: 105.67 105.67 31.95
Atoms (fractional coordinates):
1 In 0.000 0.000 0.000
2 In 0.053 0.053 0.611
3 In 0.387 0.387 0.278
4 In 0.667 0.667 0.339
5 In 0.722 0.722 0.943
6 Hg 0.332 0.332 0.670

Results
Fermi-level density of states	1.8	states/eV/f.u.

***

Stability ranking, top and bottom: P is the most stable and Q is the least stable.

***

P:
# In8Hg3

A geometry-optimized In8Hg3 structure (GGA-PBE, the Alexandria database).

abc: 7.333 7.333 7.333
angles: 107.62 107.62 107.62
Atoms (fractional coordinates):
1 In 0.003 0.320 0.821
2 In 0.179 0.997 0.680
3 In 0.235 0.235 0.235
4 In 0.320 0.821 0.003
5 In 0.680 0.179 0.997
6 In 0.765 0.765 0.765
7 In 0.821 0.003 0.320
8 In 0.997 0.680 0.179
9 Hg 0.000 0.500 0.500
10 Hg 0.500 0.000 0.500
11 Hg 0.500 0.500 0.000

Results
Fermi-level density of states	2.6	states/eV/f.u.

***

Q:
# In8Hg3

A geometry-optimized In8Hg3 structure (GGA-PBE, the Alexandria database).

abc: 6.860 6.860 6.860
angles: 93.11 93.11 93.11
Atoms (fractional coordinates):
1 In 0.138 0.138 0.138
2 In 0.180 0.593 0.407
3 In 0.407 0.180 0.593
4 In 0.407 0.593 0.820
5 In 0.593 0.407 0.180
6 In 0.593 0.820 0.407
7 In 0.820 0.407 0.593
8 In 0.862 0.862 0.862
9 Hg 0.000 0.000 0.500
10 Hg 0.000 0.500 0.000
11 Hg 0.500 0.000 0.000

Results
Fermi-level density of states	5.7	states/eV/f.u.

***

Stability ranking, top and bottom: P is the most stable and Q is the least stable.

***

P:
# In3Hg4

A geometry-optimized In3Hg4 structure (GGA-PBE, the Alexandria database).

abc: 6.152 6.152 6.044
angles: 90.00 90.00 120.00
Atoms (fractional coordinates):
1 In 0.000 0.500 0.000
2 In 0.500 0.000 0.000
3 In 0.500 0.500 0.000
4 Hg 0.000 0.000 0.261
5 Hg 0.000 0.000 0.739
6 Hg 0.333 0.667 0.500
7 Hg 0.667 0.333 0.500

Results
Fermi-level density of states	2.8	states/eV/f.u.

***

Q:
# In3Hg4

A geometry-optimized In3Hg4 structure (GGA-PBE, the Alexandria database).

abc: 3.589 4.066 12.929
angles: 82.65 86.54 86.26
Atoms (fractional coordinates):
1 In 0.000 0.000 0.000
2 In 0.147 0.145 0.713
3 In 0.853 0.855 0.287
4 Hg 0.285 0.286 0.430
5 Hg 0.423 0.428 0.143
6 Hg 0.577 0.572 0.857
7 Hg 0.715 0.714 0.570

Results
Fermi-level density of states	2.4	states/eV/f.u.

***

R:
# In3Hg4

A geometry-optimized In3Hg4 structure (GGA-PBE, the Alexandria database).

abc: 12.083 12.083 12.083
angles: 161.03 161.03 26.95
Atoms (fractional coordinates):
1 In 0.000 0.000 0.000
2 In 0.291 0.291 0.000
3 In 0.709 0.709 0.000
4 Hg 0.142 0.142 0.000
5 Hg 0.430 0.430 0.000
6 Hg 0.570 0.570 0.000
7 Hg 0.858 0.858 0.000

Results
Fermi-level density of states	2.3	states/eV/f.u.

***

Stability ranking, top and bottom: Q is the most stable and P is the least stable.

***

P:
# In4Hg5

A geometry-optimized In4Hg5 structure (GGA-PBE, the Alexandria database).

abc: 3.148 8.981 9.146
angles: 98.72 99.44 96.55
Atoms (fractional coordinates):
1 In 0.169 0.009 0.339
2 In 0.173 0.334 0.976
3 In 0.827 0.666 0.024
4 In 0.831 0.991 0.661
5 Hg 0.000 0.000 0.000
6 Hg 0.370 0.349 0.320
7 Hg 0.404 0.310 0.652
8 Hg 0.596 0.690 0.348
9 Hg 0.630 0.651 0.680

Results
Fermi-level density of states	1.8	states/eV/f.u.

***

Q:
# In4Hg5

A geometry-optimized In4Hg5 structure (GGA-PBE, the Alexandria database).

abc: 9.502 9.502 6.177
angles: 90.00 90.00 120.00
Atoms (fractional coordinates):
1 In 0.000 0.000 0.000
2 In 0.000 0.000 0.500
3 In 0.000 0.371 0.250
4 In 0.000 0.629 0.750
5 In 0.371 0.000 0.250
6 In 0.371 0.371 0.750
7 In 0.629 0.000 0.750
8 In 0.629 0.629 0.250
9 Hg 0.000 0.298 0.750
10 Hg 0.000 0.702 0.250
11 Hg 0.298 0.000 0.750
12 Hg 0.298 0.298 0.250
13 Hg 0.333 0.667 0.000
14 Hg 0.333 0.667 0.500
15 Hg 0.667 0.333 0.000
16 Hg 0.667 0.333 0.500
17 Hg 0.702 0.000 0.250
18 Hg 0.702 0.702 0.750

Results
Fermi-level density of states	3.4	states/eV/f.u.

***

Stability ranking, top and bottom: P is the most stable and Q is the least stable.

***

P:
# InHg12

A geometry-optimized InHg12 structure (GGA-PBE, the Alexandria database).

abc: 9.128 9.128 9.128
angles: 60.00 60.00 60.00
Atoms (fractional coordinates):
1 In 0.000 0.000 0.000
2 Hg 0.160 0.500 0.500
3 Hg 0.160 0.500 0.840
4 Hg 0.160 0.840 0.500
5 Hg 0.500 0.160 0.500
6 Hg 0.500 0.160 0.840
7 Hg 0.500 0.500 0.160
8 Hg 0.500 0.500 0.840
9 Hg 0.500 0.840 0.160
10 Hg 0.500 0.840 0.500
11 Hg 0.840 0.160 0.500
12 Hg 0.840 0.500 0.160
13 Hg 0.840 0.500 0.500

Results
Fermi-level density of states	5.3	states/eV/f.u.

***

Q:
# InHg12

A geometry-optimized InHg12 structure (GGA-PBE, the Alexandria database).

abc: 7.801 7.801 7.801
angles: 109.47 109.47 109.47
Atoms (fractional coordinates):
1 In 0.000 0.000 0.000
2 Hg 0.143 0.323 0.820
3 Hg 0.180 0.503 0.323
4 Hg 0.180 0.857 0.677
5 Hg 0.323 0.180 0.503
6 Hg 0.323 0.820 0.143
7 Hg 0.497 0.677 0.820
8 Hg 0.503 0.323 0.180
9 Hg 0.677 0.180 0.857
10 Hg 0.677 0.820 0.497
11 Hg 0.820 0.143 0.323
12 Hg 0.820 0.497 0.677
13 Hg 0.857 0.677 0.180

Results
Fermi-level density of states	2.8	states/eV/f.u.

***

Stability ranking, top and bottom: Q is the most stable and P is the least stable.

***

P:
# In4Hg3

A geometry-optimized In4Hg3 structure (GGA-PBE, the Alexandria database).

abc: 5.765 9.333 9.341
angles: 60.06 79.59 83.69
Atoms (fractional coordinates):
1 In 0.019 0.176 0.489
2 In 0.023 0.826 0.177
3 In 0.081 0.490 0.828
4 In 0.092 0.833 0.826
5 In 0.908 0.167 0.174
6 In 0.919 0.510 0.172
7 In 0.977 0.174 0.823
8 In 0.981 0.824 0.511
9 Hg 0.437 0.366 0.203
10 Hg 0.461 0.195 0.950
11 Hg 0.489 0.908 0.366
12 Hg 0.511 0.092 0.634
13 Hg 0.539 0.805 0.050
14 Hg 0.563 0.634 0.797

Results
Fermi-level density of states	2.0	states/eV/f.u.

***

Q:
# In4Hg3

A geometry-optimized In4Hg3 structure (GGA-PBE, the Alexandria database).

abc: 12.403 12.403 12.403
angles: 161.75 161.75 25.92
Atoms (fractional coordinates):
1 In 0.070 0.070 0.000
2 In 0.353 0.353 0.000
3 In 0.647 0.647 0.000
4 In 0.930 0.930 0.000
5 Hg 0.215 0.215 0.000
6 Hg 0.500 0.500 0.000
7 Hg 0.785 0.785 0.000

Results
Fermi-level density of states	3.1	states/eV/f.u.

***

Stability ranking, top and bottom: Q is the most stable and P is the least stable.

***

P:
# In5Hg7

A geometry-optimized In5Hg7 structure (GGA-PBE, the Alexandria database).

abc: 7.726 7.726 11.445
angles: 92.46 92.46 28.90
Atoms (fractional coordinates):
1 In 0.000 0.000 0.000
2 In 0.164 0.164 0.500
3 In 0.418 0.418 0.248
4 In 0.582 0.582 0.752
5 In 0.836 0.836 0.500
6 Hg 0.085 0.085 0.250
7 Hg 0.249 0.249 0.749
8 Hg 0.332 0.332 0.997
9 Hg 0.500 0.500 0.500
10 Hg 0.668 0.668 0.003
11 Hg 0.751 0.751 0.251
12 Hg 0.915 0.915 0.750

Results
Fermi-level density of states	5.0	states/eV/f.u.

***

Q:
# In5Hg7

A geometry-optimized In5Hg7 structure (GGA-PBE, the Alexandria database).

abc: 7.608 7.608 13.049
angles: 94.33 94.33 25.82
Atoms (fractional coordinates):
1 In 0.000 0.000 0.000
2 In 0.165 0.165 0.427
3 In 0.354 0.354 0.129
4 In 0.646 0.646 0.871
5 In 0.835 0.835 0.573
6 Hg 0.026 0.026 0.248
7 Hg 0.177 0.177 0.667
8 Hg 0.326 0.326 0.880
9 Hg 0.500 0.500 0.500
10 Hg 0.674 0.674 0.120
11 Hg 0.823 0.823 0.333
12 Hg 0.974 0.974 0.752

Results
Fermi-level density of states	4.0	states/eV/f.u.

***

Stability ranking, top and bottom: P is the most stable and Q is the least stable.

***

P:
# InHg6

A geometry-optimized InHg6 structure (GGA-PBE, the Alexandria database).

abc: 7.080 7.080 7.080
angles: 109.47 109.47 109.47
Atoms (fractional coordinates):
1 In 0.000 0.000 0.000
2 Hg 0.250 0.500 0.750
3 Hg 0.250 0.750 0.500
4 Hg 0.500 0.250 0.750
5 Hg 0.500 0.750 0.250
6 Hg 0.750 0.250 0.500
7 Hg 0.750 0.500 0.250

Results
Fermi-level density of states	3.9	states/eV/f.u.

***

Q:
# InHg6

A geometry-optimized InHg6 structure (GGA-PBE, the Alexandria database).

abc: 5.339 5.339 7.269
angles: 90.00 90.00 90.00
Atoms (fractional coordinates):
1 In 0.000 0.000 0.000
2 Hg 0.000 0.000 0.500
3 Hg 0.000 0.500 0.234
4 Hg 0.000 0.500 0.766
5 Hg 0.500 0.000 0.234
6 Hg 0.500 0.000 0.766
7 Hg 0.500 0.500 0.500

Results
Fermi-level density of states	1.2	states/eV/f.u.

***

Stability ranking, top and bottom: Q is the most stable and P is the least stable.

***

P:
# In3HgIr

A geometry-optimized In3HgIr structure (GGA-PBE, the Alexandria database).

abc: 13.220 13.220 4.928
angles: 90.00 90.00 153.05
Atoms (fractional coordinates):
1 In 0.000 0.000 0.000
2 In 0.000 0.000 0.500
3 In 0.057 0.472 0.750
4 In 0.472 0.057 0.250
5 In 0.528 0.943 0.750
6 In 0.943 0.528 0.250
7 Hg 0.109 0.891 0.250
8 Hg 0.891 0.109 0.750
9 Ir 0.289 0.711 0.250
10 Ir 0.711 0.289 0.750

Results
Fermi-level density of states	2.4	states/eV/f.u.

***

Q:
# In3HgIr

A geometry-optimized In3HgIr structure (GGA-PBE, the Alexandria database).

abc: 5.201 7.160 6.729
angles: 90.00 104.11 90.00
Atoms (fractional coordinates):
1 In 0.010 0.013 0.289
2 In 0.010 0.487 0.289
3 In 0.408 0.250 0.061
4 In 0.592 0.750 0.939
5 In 0.990 0.513 0.711
6 In 0.990 0.987 0.711
7 Hg 0.481 0.250 0.580
8 Hg 0.519 0.750 0.420
9 Ir 0.127 0.750 0.033
10 Ir 0.873 0.250 0.967

Results
Fermi-level density of states	2.0	states/eV/f.u.

***

Stability ranking, top and bottom: Q is the most stable and P is the least stable.